[1]
# SrVSb2Te (PBE-GGA, optimized geometry)
# energy relative to the elements, uncorrected: -0.282 eV/atom
# total magnetization: 0.8 μB/f.u.
# DFT total energy: -4.7190 eV/atom
# polymorph energy (0 for the lowest one): 0 meV per atom
data_SrVSb2Te
_chemical_formula_sum 'Sr1 V1 Sb2 Te1'
_cell_length_a 5.046
_cell_length_b 5.046
_cell_length_c 6.111
_cell_angle_alpha 90.00
_cell_angle_beta 90.00
_cell_angle_gamma 90.00
_space_group_name_H-M_alt 'P 4/m m m'
_space_group_IT_number 123
_space_group_name_Hall '-P 4 2'
loop_
_atom_site_label
_atom_site_fract_x
_atom_site_fract_y
_atom_site_fract_z
_atom_site_occupancy
Sr1 0.000 0.000 0.000 1
V1 0.500 0.500 0.500 1
Sb1 0.000 0.500 0.500 1
Te1 0.500 0.500 0.000 1

---

[2]
# SrVSb2Te (PBE-GGA, optimized geometry)
# energy relative to the elements, uncorrected: 1.097 eV/atom
# total magnetization: 3.3 μB/f.u.
# DFT total energy: -3.3400 eV/atom
# polymorph energy (0 for the lowest one): 1379 meV per atom
data_SrVSb2Te
_chemical_formula_sum 'Sr1 V1 Sb2 Te1'
_cell_length_a 5.940
_cell_length_b 5.940
_cell_length_c 5.980
_cell_angle_alpha 90.00
_cell_angle_beta 90.00
_cell_angle_gamma 90.00
_space_group_name_H-M_alt 'P 4/m m m'
_space_group_IT_number 123
_space_group_name_Hall '-P 4 2'
loop_
_atom_site_label
_atom_site_fract_x
_atom_site_fract_y
_atom_site_fract_z
_atom_site_occupancy
Sr1 0.000 0.000 0.000 1
V1 0.500 0.500 0.500 1
Sb1 0.000 0.500 0.000 1
Te1 0.000 0.000 0.500 1

---

[3]
# SrVSbTe2 (PBE-GGA, optimized geometry)
# energy relative to the elements, uncorrected: -0.353 eV/atom
# total magnetization: 0.0 μB/f.u.
# DFT total energy: -4.5941 eV/atom
# polymorph energy (0 for the lowest one): 0 meV per atom
data_SrVSbTe2
_chemical_formula_sum 'Sr1 V1 Sb1 Te2'
_cell_length_a 5.432
_cell_length_b 5.432
_cell_length_c 5.118
_cell_angle_alpha 90.00
_cell_angle_beta 90.00
_cell_angle_gamma 90.00
_space_group_name_H-M_alt 'P 4/m m m'
_space_group_IT_number 123
_space_group_name_Hall '-P 4 2'
loop_
_atom_site_label
_atom_site_fract_x
_atom_site_fract_y
_atom_site_fract_z
_atom_site_occupancy
Sr1 0.000 0.000 0.000 1
V1 0.500 0.500 0.500 1
Sb1 0.500 0.500 0.000 1
Te1 0.000 0.500 0.500 1

---

[4]
# SrSb2TeW (PBE-GGA, optimized geometry)
# energy relative to the elements, uncorrected: 2.062 eV/atom
# total magnetization: 0.4 μB/f.u.
# DFT total energy: -3.1420 eV/atom
# polymorph energy (0 for the lowest one): 1993 meV per atom
data_SrSb2TeW
_chemical_formula_sum 'Sr1 Sb2 Te1 W1'
_cell_length_a 5.816
_cell_length_b 5.816
_cell_length_c 5.787
_cell_angle_alpha 90.00
_cell_angle_beta 90.00
_cell_angle_gamma 90.00
_space_group_name_H-M_alt 'P 4/m m m'
_space_group_IT_number 123
_space_group_name_Hall '-P 4 2'
loop_
_atom_site_label
_atom_site_fract_x
_atom_site_fract_y
_atom_site_fract_z
_atom_site_occupancy
Sr1 0.000 0.000 0.000 1
Sb1 0.000 0.500 0.000 1
Te1 0.000 0.000 0.500 1
W1 0.500 0.500 0.500 1

---

[5]
# SrSb2TeW (PBE-GGA, optimized geometry)
# energy relative to the elements, uncorrected: 0.070 eV/atom
# total magnetization: 0.6 μB/f.u.
# DFT total energy: -5.1346 eV/atom
# polymorph energy (0 for the lowest one): 0 meV per atom
data_SrSb2TeW
_chemical_formula_sum 'Sr1 Sb2 Te1 W1'
_cell_length_a 5.183
_cell_length_b 5.183
_cell_length_c 6.040
_cell_angle_alpha 90.00
_cell_angle_beta 90.00
_cell_angle_gamma 90.00
_space_group_name_H-M_alt 'P 4/m m m'
_space_group_IT_number 123
_space_group_name_Hall '-P 4 2'
loop_
_atom_site_label
_atom_site_fract_x
_atom_site_fract_y
_atom_site_fract_z
_atom_site_occupancy
Sr1 0.000 0.000 0.000 1
Sb1 0.000 0.500 0.500 1
Te1 0.500 0.500 0.000 1
W1 0.500 0.500 0.500 1

---

[6]
# SrYSbTe2 (PBE-GGA, optimized geometry)
# energy relative to the elements, uncorrected: -0.728 eV/atom
# total magnetization: 0.0 μB/f.u.
# DFT total energy: -4.4387 eV/atom
# polymorph energy (0 for the lowest one): 0 meV per atom
data_SrYSbTe2
_chemical_formula_sum 'Sr1 Y1 Sb1 Te2'
_cell_length_a 5.855
_cell_length_b 5.855
_cell_length_c 5.776
_cell_angle_alpha 90.00
_cell_angle_beta 90.00
_cell_angle_gamma 90.00
_space_group_name_H-M_alt 'P 4/m m m'
_space_group_IT_number 123
_space_group_name_Hall '-P 4 2'
loop_
_atom_site_label
_atom_site_fract_x
_atom_site_fract_y
_atom_site_fract_z
_atom_site_occupancy
Sr1 0.000 0.000 0.000 1
Y1 0.500 0.500 0.500 1
Sb1 0.500 0.500 0.000 1
Te1 0.000 0.500 0.500 1

---

[7]
# SrYSbTe2 (PBE-GGA, optimized geometry)
# energy relative to the elements, uncorrected: 0.096 eV/atom
# total magnetization: 0.0 μB/f.u.
# DFT total energy: -3.6145 eV/atom
# polymorph energy (0 for the lowest one): 824 meV per atom
data_SrYSbTe2
_chemical_formula_sum 'Sr1 Y1 Sb1 Te2'
_cell_length_a 5.930
_cell_length_b 5.930
_cell_length_c 5.796
_cell_angle_alpha 90.00
_cell_angle_beta 90.00
_cell_angle_gamma 90.00
_space_group_name_H-M_alt 'P 4/m m m'
_space_group_IT_number 123
_space_group_name_Hall '-P 4 2'
loop_
_atom_site_label
_atom_site_fract_x
_atom_site_fract_y
_atom_site_fract_z
_atom_site_occupancy
Sr1 0.000 0.000 0.000 1
Y1 0.500 0.500 0.500 1
Sb1 0.000 0.000 0.500 1
Te1 0.000 0.500 0.000 1

---

[8]
# SrZrSb2Te (PBE-GGA, optimized geometry)
# energy relative to the elements, uncorrected: -0.484 eV/atom
# total magnetization: 0.0 μB/f.u.
# DFT total energy: -4.8078 eV/atom
# polymorph energy (0 for the lowest one): 0 meV per atom
data_SrZrSb2Te
_chemical_formula_sum 'Sr1 Zr1 Sb2 Te1'
_cell_length_a 5.597
_cell_length_b 5.597
_cell_length_c 5.634
_cell_angle_alpha 90.00
_cell_angle_beta 90.00
_cell_angle_gamma 90.00
_space_group_name_H-M_alt 'P 4/m m m'
_space_group_IT_number 123
_space_group_name_Hall '-P 4 2'
loop_
_atom_site_label
_atom_site_fract_x
_atom_site_fract_y
_atom_site_fract_z
_atom_site_occupancy
Sr1 0.000 0.000 0.000 1
Zr1 0.500 0.500 0.500 1
Sb1 0.000 0.500 0.500 1
Te1 0.500 0.500 0.000 1

---

[9]
# SrZrSbTe2 (PBE-GGA, optimized geometry)
# energy relative to the elements, uncorrected: -0.676 eV/atom
# total magnetization: 0.0 μB/f.u.
# DFT total energy: -4.8036 eV/atom
# polymorph energy (0 for the lowest one): 0 meV per atom
data_SrZrSbTe2
_chemical_formula_sum 'Sr1 Zr1 Sb1 Te2'
_cell_length_a 5.644
_cell_length_b 5.644
_cell_length_c 5.607
_cell_angle_alpha 90.00
_cell_angle_beta 90.00
_cell_angle_gamma 90.00
_space_group_name_H-M_alt 'P 4/m m m'
_space_group_IT_number 123
_space_group_name_Hall '-P 4 2'
loop_
_atom_site_label
_atom_site_fract_x
_atom_site_fract_y
_atom_site_fract_z
_atom_site_occupancy
Sr1 0.000 0.000 0.000 1
Zr1 0.500 0.500 0.500 1
Sb1 0.500 0.500 0.000 1
Te1 0.000 0.500 0.500 1

---

[10]
# SrZrSb2Te (PBE-GGA, optimized geometry)
# energy relative to the elements, uncorrected: 0.913 eV/atom
# total magnetization: 1.5 μB/f.u.
# DFT total energy: -3.4101 eV/atom
# polymorph energy (0 for the lowest one): 1398 meV per atom
data_SrZrSb2Te
_chemical_formula_sum 'Sr1 Zr1 Sb2 Te1'
_cell_length_a 5.796
_cell_length_b 5.796
_cell_length_c 5.862
_cell_angle_alpha 90.00
_cell_angle_beta 90.00
_cell_angle_gamma 90.00
_space_group_name_H-M_alt 'P 4/m m m'
_space_group_IT_number 123
_space_group_name_Hall '-P 4 2'
loop_
_atom_site_label
_atom_site_fract_x
_atom_site_fract_y
_atom_site_fract_z
_atom_site_occupancy
Sr1 0.000 0.000 0.000 1
Zr1 0.500 0.500 0.500 1
Sb1 0.000 0.500 0.000 1
Te1 0.000 0.000 0.500 1

---

[11]
# SrZrSbTe2 (PBE-GGA, optimized geometry)
# energy relative to the elements, uncorrected: 0.714 eV/atom
# total magnetization: 1.4 μB/f.u.
# DFT total energy: -3.4134 eV/atom
# polymorph energy (0 for the lowest one): 1390 meV per atom
data_SrZrSbTe2
_chemical_formula_sum 'Sr1 Zr1 Sb1 Te2'
_cell_length_a 5.916
_cell_length_b 5.916
_cell_length_c 5.794
_cell_angle_alpha 90.00
_cell_angle_beta 90.00
_cell_angle_gamma 90.00
_space_group_name_H-M_alt 'P 4/m m m'
_space_group_IT_number 123
_space_group_name_Hall '-P 4 2'
loop_
_atom_site_label
_atom_site_fract_x
_atom_site_fract_y
_atom_site_fract_z
_atom_site_occupancy
Sr1 0.000 0.000 0.000 1
Zr1 0.500 0.500 0.500 1
Sb1 0.000 0.000 0.500 1
Te1 0.000 0.500 0.000 1

---

[12]
# SrThSb (PBE-GGA, optimized geometry)
# energy relative to the elements, uncorrected: -0.695 eV/atom
# total magnetization: 0.0 μB/f.u.
# DFT total energy: -5.1033 eV/atom
data_SrThSb
_chemical_formula_sum 'Sr2 Th2 Sb2'
_cell_length_a 4.781
_cell_length_b 4.781
_cell_length_c 9.120
_cell_angle_alpha 90.00
_cell_angle_beta 90.00
_cell_angle_gamma 90.00
_space_group_name_H-M_alt 'P 4/n m m'
_space_group_IT_number 129
loop_
_space_group_symop_operation_xyz
'x,y,z'
'-x,-y,-z'
'-y+1/2,x,z'
'y+1/2,-x,-z'
'-x+1/2,-y+1/2,z'
'x+1/2,y+1/2,-z'
'y,-x+1/2,z'
'-y,x+1/2,-z'
'x+1/2,-y,-z'
'-x+1/2,y,z'
'-y,-x,-z'
'y,x,z'
'-x,y+1/2,-z'
'x,-y+1/2,z'
'y+1/2,x+1/2,-z'
'-y+1/2,-x+1/2,z'
loop_
_atom_site_label
_atom_site_fract_x
_atom_site_fract_y
_atom_site_fract_z
_atom_site_occupancy
Sr1 0.250 0.250 0.146 1
Th1 0.250 0.750 0.500 1
Sb1 0.250 0.250 0.765 1

---

[13]
# Sr5ThSb4 (PBE-GGA, optimized geometry)
# energy relative to the elements, uncorrected: -0.830 eV/atom
# total magnetization: 1.8 μB/f.u.
# DFT total energy: -4.0619 eV/atom
data_Sr5ThSb4
_chemical_formula_sum 'Sr10 Th2 Sb8'
_cell_length_a 20.352
_cell_length_b 4.749
_cell_length_c 9.145
_cell_angle_alpha 90.00
_cell_angle_beta 104.76
_cell_angle_gamma 90.00
_space_group_name_H-M_alt 'C 1 2/m 1'
_space_group_IT_number 12
_space_group_name_Hall '-C 2y'
loop_
_atom_site_label
_atom_site_fract_x
_atom_site_fract_y
_atom_site_fract_z
_atom_site_occupancy
Sr1 0.000 0.000 0.000 1
Sr2 0.165 0.500 0.838 1
Sr3 0.169 0.500 0.353 1
Th1 0.000 0.000 0.500 1
Sb1 0.001 0.500 0.259 1
Sb2 0.164 0.000 0.598 1

---

[14]
# SrTh3Sb4 (PBE-GGA, optimized geometry)
# energy relative to the elements, uncorrected: -0.958 eV/atom
# total magnetization: 0.0 μB/f.u.
# DFT total energy: -6.0115 eV/atom
data_SrTh3Sb4
_chemical_formula_sum 'Sr2 Th6 Sb8'
_cell_length_a 6.427
_cell_length_b 6.427
_cell_length_c 12.880
_cell_angle_alpha 90.00
_cell_angle_beta 90.00
_cell_angle_gamma 90.00
_space_group_name_H-M_alt 'I 4/m m m'
_space_group_IT_number 139
_space_group_name_Hall '-I 4 2'
loop_
_atom_site_label
_atom_site_fract_x
_atom_site_fract_y
_atom_site_fract_z
_atom_site_occupancy
Sr1 0.000 0.000 0.000 1
Th1 0.000 0.000 0.500 1
Th2 0.000 0.500 0.250 1
Sb1 0.000 0.000 0.253 1
Sb2 0.000 0.500 0.000 1

---

[15]
# SrTh5Sb6 (PBE-GGA, optimized geometry)
# energy relative to the elements, uncorrected: -0.939 eV/atom
# total magnetization: 0.0 μB/f.u.
# DFT total energy: -6.2316 eV/atom
data_SrTh5Sb6
_chemical_formula_sum 'Sr2 Th10 Sb12'
_cell_length_a 7.861
_cell_length_b 13.591
_cell_length_c 7.866
_cell_angle_alpha 90.00
_cell_angle_beta 109.41
_cell_angle_gamma 90.00
_space_group_name_H-M_alt 'C 1 2/m 1'
_space_group_IT_number 12
_space_group_name_Hall '-C 2y'
loop_
_atom_site_label
_atom_site_fract_x
_atom_site_fract_y
_atom_site_fract_z
_atom_site_occupancy
Sr1 0.000 0.000 0.000 1
Th1 0.000 0.162 0.500 1
Th2 0.000 0.333 0.000 1
Th3 0.000 0.500 0.500 1
Sb1 0.244 0.500 0.249 1
Sb2 0.245 0.331 0.745 1

---

[16]
# Sr3TmTh2Sb6 (PBE-GGA, optimized geometry)
# energy relative to the elements, uncorrected: -0.983 eV/atom
# total magnetization: 0.0 μB/f.u.
# DFT total energy: -5.0740 eV/atom
data_Sr3TmTh2Sb6
_chemical_formula_sum 'Sr6 Tm2 Th4 Sb12'
_cell_length_a 7.915
_cell_length_b 13.721
_cell_length_c 8.121
_cell_angle_alpha 90.00
_cell_angle_beta 108.99
_cell_angle_gamma 90.00
_space_group_name_H-M_alt 'C 1 2/m 1'
_space_group_IT_number 12
_space_group_name_Hall '-C 2y'
loop_
_atom_site_label
_atom_site_fract_x
_atom_site_fract_y
_atom_site_fract_z
_atom_site_occupancy
Sr1 0.000 0.000 0.000 1
Sr2 0.000 0.331 0.000 1
Tm1 0.000 0.500 0.500 1
Th1 0.000 0.166 0.500 1
Sb1 0.240 0.336 0.727 1
Sb2 0.249 0.000 0.729 1

---

[17]
# SrTi2Sb (PBE-GGA, optimized geometry)
# energy relative to the elements, uncorrected: 0.141 eV/atom
# total magnetization: 0.0 μB/f.u.
# DFT total energy: -5.2578 eV/atom
data_SrTi2Sb
_chemical_formula_sum 'Sr4 Ti8 Sb4'
_cell_length_a 4.748
_cell_length_b 4.748
_cell_length_c 20.466
_cell_angle_alpha 90.00
_cell_angle_beta 90.00
_cell_angle_gamma 90.00
_space_group_name_H-M_alt 'I 41/a m d'
_space_group_IT_number 141
loop_
_space_group_symop_operation_xyz
'x,y,z'
'-x,-y,-z'
'-y+1/4,x+3/4,z+1/4'
'y+1/4,-x+3/4,-z+1/4'
'-x+1/2,-y,z+1/2'
'x+1/2,y,-z+1/2'
'y+1/4,-x+1/4,z+3/4'
'-y+1/4,x+1/4,-z+3/4'
'x,-y,-z'
'-x,y,z'
'-y+1/4,-x+1/4,-z+3/4'
'y+1/4,x+1/4,z+3/4'
'-x+1/2,y,-z+1/2'
'x+1/2,-y,z+1/2'
'y+1/4,x+3/4,-z+1/4'
'-y+1/4,-x+3/4,z+1/4'
'x+1/2,y+1/2,z+1/2'
'-x+1/2,-y+1/2,-z+1/2'
'-y+3/4,x+1/4,z+3/4'
'y+3/4,-x+1/4,-z+3/4'
'-x,-y+1/2,z'
'x,y+1/2,-z'
'y+3/4,-x+3/4,z+1/4'
'-y+3/4,x+3/4,-z+1/4'
'x+1/2,-y+1/2,-z+1/2'
'-x+1/2,y+1/2,z+1/2'
'-y+3/4,-x+3/4,-z+1/4'
'y+3/4,x+3/4,z+1/4'
'-x,y+1/2,-z'
'x,-y+1/2,z'
'y+3/4,x+1/4,-z+3/4'
'-y+3/4,-x+1/4,z+3/4'
loop_
_atom_site_label
_atom_site_fract_x
_atom_site_fract_y
_atom_site_fract_z
_atom_site_occupancy
Sr1 0.000 0.250 0.375 1
Ti1 0.000 0.000 0.000 1
Sb1 0.000 0.250 0.875 1

---

[18]
# SrTi3Sb (PBE-GGA, optimized geometry)
# energy relative to the elements, uncorrected: 0.626 eV/atom
# total magnetization: 0.0 μB/f.u.
# DFT total energy: -5.2719 eV/atom
# polymorph energy (0 for the lowest one): 0 meV per atom
data_SrTi3Sb
_chemical_formula_sum 'Sr1 Ti3 Sb1'
_cell_length_a 5.186
_cell_length_b 5.186
_cell_length_c 5.186
_cell_angle_alpha 90.00
_cell_angle_beta 90.00
_cell_angle_gamma 90.00
_space_group_name_H-M_alt 'P m -3 m'
_space_group_IT_number 221
_space_group_name_Hall '-P 4 2 3'
loop_
_atom_site_label
_atom_site_fract_x
_atom_site_fract_y
_atom_site_fract_z
_atom_site_occupancy
Sr1 0.000 0.000 0.000 1
Ti1 0.000 0.500 0.500 1
Sb1 0.500 0.500 0.500 1

---

[19]
# SrTiSb3 (PBE-GGA, optimized geometry)
# energy relative to the elements, uncorrected: -0.372 eV/atom
# total magnetization: 0.0 μB/f.u.
# DFT total energy: -4.7612 eV/atom
# polymorph energy (0 for the lowest one): 0 meV per atom
data_SrTiSb3
_chemical_formula_sum 'Sr1 Ti1 Sb3'
_cell_length_a 5.349
_cell_length_b 5.349
_cell_length_c 5.349
_cell_angle_alpha 90.00
_cell_angle_beta 90.00
_cell_angle_gamma 90.00
_space_group_name_H-M_alt 'P m -3 m'
_space_group_IT_number 221
_space_group_name_Hall '-P 4 2 3'
loop_
_atom_site_label
_atom_site_fract_x
_atom_site_fract_y
_atom_site_fract_z
_atom_site_occupancy
Sr1 0.000 0.000 0.000 1
Ti1 0.500 0.500 0.500 1
Sb1 0.000 0.500 0.500 1

---

[20]
# SrTi2Sb2 (PBE-GGA, optimized geometry)
# energy relative to the elements, uncorrected: -0.573 eV/atom
# total magnetization: 0.0 μB/f.u.
# DFT total energy: -5.7164 eV/atom
# polymorph energy (0 for the lowest one): 0 meV per atom
data_SrTi2Sb2
_chemical_formula_sum 'Sr2 Ti4 Sb4'
_cell_length_a 4.312
_cell_length_b 4.312
_cell_length_c 13.772
_cell_angle_alpha 90.00
_cell_angle_beta 90.00
_cell_angle_gamma 90.00
_space_group_name_H-M_alt 'I 4/m m m'
_space_group_IT_number 139
_space_group_name_Hall '-I 4 2'
loop_
_atom_site_label
_atom_site_fract_x
_atom_site_fract_y
_atom_site_fract_z
_atom_site_occupancy
Sr1 0.000 0.000 0.000 1
Ti1 0.000 0.500 0.250 1
Sb1 0.000 0.000 0.377 1